First-principles (SCAN) data for RbLiMn3O4 at its PBEsol-relaxed geometry, as listed in Alexandria via LeMat-Bulk.

As for the calculated volume: 13.44 Å³/atom. As for the energy relative to the elements, uncorrected: -1.86 eV/atom.

Cell lengths 11.6481, 3.5000, 8.2000 Å; angles 90.00, 133.65, 90.00 degrees
With the nearest neighbours (Å) after each atom.
Space group Cm (No. 8)
Asymmetric unit:
Rb: 0.0000 0.0000 0.0000 (multiplicity 2)  8 O 2.93-3.10
Li: 0.3100 0.5000 0.1867 (multiplicity 2)  4 O 1.97-2.20
Mn: 0.1136 0.5000 0.4426 (multiplicity 2)  4 O 1.95-2.13
Mn: 0.1926 0.0000 0.8392 (multiplicity 2)  4 O 2.03-2.04
Mn: 0.3634 0.0000 0.5310 (multiplicity 2)  4 O 2.02-2.20
O: 0.0950 0.5000 0.8230 (multiplicity 2)  3 Mn 2.02-2.04, 1 Li 2.20
O: 0.2288 0.0000 0.6293 (multiplicity 2)  4 Mn 2.04-2.20
O: 0.2572 0.5000 0.3694 (multiplicity 2)  1 Li 1.97, 3 Mn 2.02-2.13
O: 0.3855 0.0000 0.1761 (multiplicity 2)  2 Mn 1.95-2.03, 2 Li 1.99